1.
Computed, not measured: a relaxed Ac3AlCd crystal at the PBE level of DFT.

## Properties
The volume is 35.069 Å³/atom. Its raw total energy is -35.87 eV for the cell shown. Its theoretical density is 7.8 g/cm³. The energy relative to the elements comes out at -0.19 eV per atom.

Lattice parameters (Å, degrees): 5.733 5.739 11.038 90.00 74.95 90.00
Atoms (fractional coordinates):
Al (0.168, 0.250, 0.312)
Ac (0.260, 0.750, 0.128)
Ac (0.756, 0.250, 0.137)
Al (0.480, 0.750, 0.688)
Ac (0.893, 0.750, 0.863)
Ac (0.573, 0.250, 0.503)
Cd (0.980, 0.250, 0.688)
Cd (0.668, 0.750, 0.312)
Ac (0.076, 0.750, 0.497)
Ac (0.388, 0.250, 0.872)

2.
Computed, not measured: a relaxed AcAlCd crystal at the PBE level of DFT.

## Properties
The volume is 27.741 Å³/atom. Its raw total energy is -9.12 eV for the cell shown. The value obtained for the energy above the most stable polymorph in this dataset is 0.210 eV per atom. Its theoretical density is 7.3 g/cm³. The energy relative to the elements comes out at -0.12 eV per atom.

Lattice parameters (Å, degrees): 3.696 3.696 6.630 106.18 106.18 90.00
Atoms (fractional coordinates):
Cd (0.306, 0.306, 0.613)
Ac (0.004, 0.004, 0.008)
Al (0.690, 0.690, 0.379)

3.
Computed, not measured: a relaxed AcAlCd2 crystal at the PBE level of DFT.

## Properties
The volume is 26.620 Å³/atom. Its raw total energy is -10.27 eV for the cell shown. The value obtained for the energy above the most stable polymorph in this dataset is 0.153 eV per atom. Its theoretical density is 7.5 g/cm³. The energy relative to the elements comes out at -0.15 eV per atom.

Lattice parameters (Å, degrees): 5.320 5.320 5.320 60.00 60.00 60.00
Atoms (fractional coordinates):
Ac (0.000, 0.000, 0.000)
Cd (0.750, 0.750, 0.750)
Cd (0.250, 0.250, 0.250)
Al (0.500, 0.500, 0.500)

4.
Computed, not measured: a relaxed Ac2Al3Cd2 crystal at the PBE level of DFT.

## Properties
The volume is 26.205 Å³/atom. Its raw total energy is -23.40 eV for the cell shown. Its theoretical density is 6.9 g/cm³. The energy relative to the elements comes out at -0.30 eV per atom.

Lattice parameters (Å, degrees): 4.796 6.306 7.145 111.53 90.00 112.35
Atoms (fractional coordinates):
Al (0.500, 0.000, 0.000)
Al (0.582, 0.165, 0.413)
Cd (0.848, 0.696, 0.729)
Ac (0.848, 0.695, 0.227)
Ac (0.152, 0.305, 0.773)
Cd (0.152, 0.304, 0.271)
Al (0.418, 0.835, 0.587)

5.
Computed, not measured: a relaxed Ac2Al5Cd crystal at the PBE level of DFT.

## Properties
The volume is 24.654 Å³/atom. Its raw total energy is -60.79 eV for the cell shown. Its theoretical density is 5.9 g/cm³. The energy relative to the elements comes out at -0.32 eV per atom.

Lattice parameters (Å, degrees): 4.667 9.220 9.476 90.00 90.00 104.66
Atoms (fractional coordinates):
Al (0.406, 0.812, 0.250)
Cd (0.440, 0.880, 0.750)
Ac (0.000, 0.000, 0.000)
Al (0.184, 0.367, 0.611)
Cd (0.560, 0.120, 0.250)
Ac (0.206, 0.411, 0.250)
Al (0.816, 0.633, 0.111)
Ac (0.000, 0.000, 0.500)
Al (0.651, 0.301, 0.013)
Al (0.651, 0.301, 0.487)
Al (0.349, 0.699, 0.513)
Al (0.349, 0.699, 0.987)
Al (0.184, 0.367, 0.889)
Al (0.594, 0.188, 0.750)
Al (0.816, 0.633, 0.389)
Ac (0.794, 0.589, 0.750)

6.
Computed, not measured: a relaxed Ac2Al5Cd3 crystal at the PBE level of DFT.

## Properties
The volume is 24.089 Å³/atom. Its raw total energy is -32.67 eV for the cell shown. Its theoretical density is 6.4 g/cm³. The energy relative to the elements comes out at -0.30 eV per atom.

Lattice parameters (Å, degrees): 4.579 4.579 11.491 90.00 90.00 90.00
Atoms (fractional coordinates):
Al (0.500, 0.500, 0.500)
Al (0.000, 0.000, 0.000)
Al (0.000, 0.500, 0.124)
Al (0.500, 0.000, 0.876)
Ac (0.000, 0.500, 0.765)
Ac (0.500, 0.000, 0.235)
Cd (0.000, 0.000, 0.500)
Cd (0.000, 0.500, 0.357)
Cd (0.500, 0.000, 0.643)
Al (0.500, 0.500, 0.000)

7.
Computed, not measured: a relaxed Ac2AlCd2 crystal at the PBE level of DFT.

## Properties
The volume is 30.898 Å³/atom. Its raw total energy is -30.55 eV for the cell shown. Its theoretical density is 7.6 g/cm³. The energy relative to the elements comes out at -0.30 eV per atom.

Lattice parameters (Å, degrees): 4.950 6.399 10.867 85.98 76.84 67.25
Atoms (fractional coordinates):
Ac (0.679, 0.303, 0.338)
Cd (0.370, 0.142, 0.119)
Cd (0.910, 0.738, 0.442)
Ac (0.915, 0.281, 0.890)
Ac (0.085, 0.719, 0.110)
Al (0.620, 0.104, 0.655)
Ac (0.321, 0.697, 0.662)
Cd (0.090, 0.262, 0.558)
Al (0.380, 0.896, 0.345)
Cd (0.630, 0.858, 0.881)

8.
Computed, not measured: a relaxed Ac2Al2Cd15 crystal at the PBE level of DFT.

## Properties
The volume is 23.745 Å³/atom. Its raw total energy is -32.18 eV for the cell shown. Its theoretical density is 8.1 g/cm³. The energy relative to the elements comes out at -0.14 eV per atom.

Lattice parameters (Å, degrees): 7.716 7.716 7.716 83.51 83.51 83.51
Atoms (fractional coordinates):
Al (0.907, 0.907, 0.907)
Cd (0.000, 0.000, 0.500)
Cd (0.839, 0.354, 0.354)
Cd (0.646, 0.646, 0.161)
Cd (0.000, 0.500, 0.000)
Cd (0.161, 0.646, 0.646)
Cd (0.646, 0.161, 0.646)
Cd (0.500, 0.000, 0.000)
Cd (0.299, 0.000, 0.701)
Cd (0.354, 0.354, 0.839)
Ac (0.329, 0.329, 0.329)
Cd (0.701, 0.000, 0.299)
Cd (0.299, 0.701, 0.000)
Cd (0.000, 0.701, 0.299)
Cd (0.701, 0.299, 0.000)
Ac (0.671, 0.671, 0.671)
Al (0.093, 0.093, 0.093)
Cd (0.000, 0.299, 0.701)
Cd (0.354, 0.839, 0.354)

9.
Computed, not measured: a relaxed Ac2Al7Cd crystal at the PBE level of DFT.

## Properties
The volume is 22.980 Å³/atom. Its raw total energy is -38.49 eV for the cell shown. Its theoretical density is 5.5 g/cm³. The energy relative to the elements comes out at -0.32 eV per atom.

Lattice parameters (Å, degrees): 4.541 4.541 11.143 90.00 90.00 90.00
Atoms (fractional coordinates):
Al (0.500, 0.500, 0.500)
Ac (0.000, 0.500, 0.254)
Al (0.000, 0.000, 0.500)
Ac (0.500, 0.000, 0.746)
Al (0.000, 0.500, 0.863)
Al (0.000, 0.500, 0.629)
Al (0.000, 0.000, 0.000)
Al (0.500, 0.000, 0.137)
Al (0.500, 0.000, 0.371)
Cd (0.500, 0.500, 0.000)

10.
Computed, not measured: a relaxed Ac3Al2Cd crystal at the PBE level of DFT.

## Properties
The volume is 32.084 Å³/atom. Its raw total energy is -44.28 eV for the cell shown. The value obtained for the energy above the most stable polymorph in this dataset is 0.009 eV per atom. Its theoretical density is 7.3 g/cm³. The energy relative to the elements comes out at -0.24 eV per atom.

Lattice parameters (Å, degrees): 5.655 5.655 13.904 90.00 90.00 120.00
Atoms (fractional coordinates):
Al (0.000, 0.000, 0.000)
Ac (0.333, 0.667, 0.922)
Cd (0.667, 0.333, 0.330)
Ac (0.000, 0.000, 0.756)
Ac (0.000, 0.000, 0.244)
Ac (0.667, 0.333, 0.078)
Al (0.667, 0.333, 0.831)
Ac (0.667, 0.333, 0.584)
Al (0.333, 0.667, 0.169)
Al (0.000, 0.000, 0.500)
Ac (0.333, 0.667, 0.416)
Cd (0.333, 0.667, 0.670)

11.
Computed, not measured: a relaxed Ac3AlCd2 crystal at the PBE level of DFT.

## Properties
The volume is 32.841 Å³/atom. Its raw total energy is -19.51 eV for the cell shown. The value obtained for the energy above the most stable polymorph in this dataset is 0.000 eV per atom. Its theoretical density is 7.9 g/cm³. The energy relative to the elements comes out at -0.27 eV per atom.

Lattice parameters (Å, degrees): 4.012 4.012 12.240 90.00 90.00 90.00
Each line ends with the local moment (μB).
Atoms (fractional coordinates):
Ac (0.000, 0.000, 0.000)  0.06
Cd (0.500, 0.500, 0.170)  0.00
Ac (0.000, 0.000, 0.343)  0.01
Cd (0.500, 0.500, 0.830)  0.00
Al (0.500, 0.500, 0.500)  0.00
Ac (0.000, 0.000, 0.657)  0.01

12.
Computed, not measured: a relaxed Ac4AlCd crystal at the PBE level of DFT.

## Properties
The volume is 40.352 Å³/atom. Its raw total energy is -21.12 eV for the cell shown. The value obtained for the energy above the most stable polymorph in this dataset is 0.151 eV per atom. Its theoretical density is 7.2 g/cm³. The energy relative to the elements comes out at -0.01 eV per atom.

Lattice parameters (Å, degrees): 5.537 5.537 9.662 73.36 73.35 60.00
Atoms (fractional coordinates):
Al (0.500, 0.500, 0.500)
Ac (0.378, 0.378, 0.867)
Ac (0.127, 0.127, 0.619)
Cd (0.000, 0.000, 0.000)
Ac (0.622, 0.622, 0.133)
Ac (0.873, 0.873, 0.381)

13.
Computed, not measured: a relaxed Ac4AlCd crystal at the PBE level of DFT.

## Properties
The volume is 36.860 Å³/atom. Its raw total energy is -22.03 eV for the cell shown. The value obtained for the energy above the most stable polymorph in this dataset is 0.000 eV per atom. Its theoretical density is 7.9 g/cm³. The energy relative to the elements comes out at -0.16 eV per atom.

Lattice parameters (Å, degrees): 4.028 4.028 13.634 90.00 90.00 90.00
Atoms (fractional coordinates):
Al (0.000, 0.000, 0.000)
Ac (0.000, 0.000, 0.651)
Cd (0.500, 0.500, 0.500)
Ac (0.500, 0.500, 0.138)
Ac (0.500, 0.500, 0.862)
Ac (0.000, 0.000, 0.349)

14.
Computed, not measured: a relaxed Ac7Al2Cd2 crystal at the PBE level of DFT.

## Properties
The volume is 38.653 Å³/atom. Its raw total energy is -37.38 eV for the cell shown. Its theoretical density is 7.3 g/cm³. The energy relative to the elements comes out at 0.06 eV per atom.

Lattice parameters (Å, degrees): 7.298 8.537 7.298 90.00 110.77 90.00
Atoms (fractional coordinates):
Cd (0.296, 0.000, 0.704)
Ac (0.500, 0.705, 0.000)
Al (0.160, 0.500, 0.160)
Cd (0.704, 0.000, 0.296)
Ac (0.500, 0.724, 0.500)
Ac (0.000, 0.000, 0.000)
Al (0.840, 0.500, 0.840)
Ac (0.500, 0.276, 0.500)
Ac (0.000, 0.295, 0.500)
Ac (0.000, 0.705, 0.500)
Ac (0.500, 0.295, 0.000)

15.
Computed, not measured: a relaxed Ac6Al2Cd crystal at the PBE level of DFT.

## Properties
The volume is 37.395 Å³/atom. Its raw total energy is -69.09 eV for the cell shown. Its theoretical density is 7.5 g/cm³. The energy relative to the elements comes out at -0.17 eV per atom.

Lattice parameters (Å, degrees): 9.571 9.571 9.571 106.13 111.88 110.46
Atoms (fractional coordinates):
Ac (0.549, 0.729, 0.820)
Al (0.367, 0.000, 0.367)
Cd (0.000, 0.500, 0.500)
Ac (0.709, 0.032, 0.323)
Ac (0.798, 0.245, 0.044)
Ac (0.709, 0.386, 0.677)
Ac (0.091, 0.271, 0.820)
Ac (0.202, 0.755, 0.956)
Al (0.500, 0.615, 0.115)
Al (0.633, 0.000, 0.633)
Ac (0.291, 0.614, 0.323)
Ac (0.909, 0.729, 0.180)
Cd (0.000, 0.000, 0.000)
Ac (0.798, 0.755, 0.553)
Ac (0.202, 0.245, 0.447)
Al (0.500, 0.385, 0.885)
Ac (0.451, 0.271, 0.180)
Ac (0.291, 0.968, 0.677)

16.
Computed, not measured: a relaxed Ac3Al3Cd crystal at the PBE level of DFT.

## Properties
The volume is 30.373 Å³/atom. Its raw total energy is -53.32 eV for the cell shown. Its theoretical density is 6.8 g/cm³. The energy relative to the elements comes out at -0.31 eV per atom.

Lattice parameters (Å, degrees): 4.922 6.399 14.839 84.52 80.45 67.38
Atoms (fractional coordinates):
Ac (0.249, 0.285, 0.218)
Al (0.898, 0.132, 0.072)
Ac (0.460, 0.700, 0.379)
Ac (0.540, 0.300, 0.621)
Ac (0.600, 0.718, 0.081)
Al (0.052, 0.125, 0.771)
Al (0.124, 0.292, 0.459)
Cd (0.252, 0.893, 0.604)
Ac (0.751, 0.715, 0.782)
Ac (0.400, 0.282, 0.919)
Cd (0.748, 0.107, 0.396)
Al (0.876, 0.708, 0.541)
Al (0.102, 0.868, 0.928)
Al (0.948, 0.875, 0.229)

17.
Computed, not measured: a relaxed Ac5AlCd4 crystal at the PBE level of DFT.

## Properties
The volume is 33.281 Å³/atom. Its raw total energy is -30.74 eV for the cell shown. Its theoretical density is 8.0 g/cm³. The energy relative to the elements comes out at -0.28 eV per atom.

Lattice parameters (Å, degrees): 4.040 4.040 20.393 90.00 90.00 90.00
Atoms (fractional coordinates):
Cd (0.000, 0.000, 0.399)
Ac (0.500, 0.500, 0.297)
Cd (0.000, 0.000, 0.601)
Cd (0.000, 0.000, 0.804)
Al (0.000, 0.000, 0.000)
Ac (0.500, 0.500, 0.500)
Ac (0.500, 0.500, 0.703)
Ac (0.500, 0.500, 0.093)
Ac (0.500, 0.500, 0.907)
Cd (0.000, 0.000, 0.196)

18.
Computed, not measured: a relaxed Ac8Al2Cd crystal at the PBE level of DFT.

## Properties
The volume is 38.165 Å³/atom. Its raw total energy is -42.33 eV for the cell shown. Its theoretical density is 7.8 g/cm³. The energy relative to the elements comes out at -0.10 eV per atom.

Lattice parameters (Å, degrees): 5.492 7.942 10.344 104.63 105.39 90.00
Atoms (fractional coordinates):
Ac (0.201, 0.308, 0.402)
Ac (0.799, 0.692, 0.598)
Ac (0.973, 0.238, 0.946)
Al (0.811, 0.285, 0.621)
Cd (0.500, 0.000, 0.000)
Al (0.189, 0.715, 0.379)
Ac (0.333, 0.040, 0.666)
Ac (0.405, 0.534, 0.811)
Ac (0.595, 0.466, 0.189)
Ac (0.667, 0.960, 0.334)
Ac (0.027, 0.762, 0.054)

19.
Computed, not measured: a relaxed AcAlCd crystal at the PBE level of DFT.

## Properties
The volume is 31.315 Å³/atom. Its raw total energy is -9.22 eV for the cell shown. The value obtained for the energy above the most stable polymorph in this dataset is 0.177 eV per atom. Its theoretical density is 6.5 g/cm³. The energy relative to the elements comes out at -0.15 eV per atom.

Lattice parameters (Å, degrees): 5.103 5.103 5.103 60.00 60.00 60.00
Atoms (fractional coordinates):
Ac (0.500, 0.500, 0.500)
Cd (0.000, 0.000, 0.000)
Al (0.250, 0.250, 0.250)

20.
Computed, not measured: a relaxed AcCeAlCd crystal at the PBE level of DFT.

## Properties
The volume is 29.635 Å³/atom. Its raw total energy is -15.38 eV for the cell shown. Its theoretical density is 7.1 g/cm³. The energy relative to the elements comes out at -0.17 eV per atom.

Lattice parameters (Å, degrees): 5.514 5.514 5.514 60.00 60.00 60.00
Each line ends with the local moment (μB).
Atoms (fractional coordinates):
Al (0.750, 0.750, 0.750)  -0.01
Ac (0.000, 0.000, 0.000)  0.03
Cd (0.250, 0.250, 0.250)  0.01
Ce (0.500, 0.500, 0.500)  0.81

21.
Computed, not measured: a relaxed Ac2AlCd6Cu crystal at the PBE level of DFT.

## Properties
The volume is 26.483 Å³/atom. Its raw total energy is -22.63 eV for the cell shown. Its theoretical density is 7.6 g/cm³. The energy relative to the elements comes out at -0.11 eV per atom.

Lattice parameters (Å, degrees): 7.428 6.997 7.397 61.82 56.68 90.07
Atoms (fractional coordinates):
Cd (0.176, 0.253, 0.491)
Cu (0.500, 0.500, 0.000)
Cd (0.747, 0.826, 0.917)
Cd (0.748, 0.258, 0.916)
Cd (0.252, 0.742, 0.084)
Al (0.000, 0.000, 0.000)
Cd (0.253, 0.174, 0.083)
Ac (0.709, 0.292, 0.420)
Ac (0.291, 0.708, 0.580)
Cd (0.824, 0.747, 0.509)

22.
Computed, not measured: a relaxed AcDyAlCd crystal at the PBE level of DFT.

## Properties
The volume is 28.955 Å³/atom. Its raw total energy is -14.38 eV for the cell shown. Its theoretical density is 7.6 g/cm³. The energy relative to the elements comes out at -0.25 eV per atom.

Lattice parameters (Å, degrees): 5.471 5.471 5.471 60.00 60.00 60.00
Atoms (fractional coordinates):
Ac (0.250, 0.250, 0.250)
Cd (0.500, 0.500, 0.500)
Al (0.000, 0.000, 0.000)
Dy (0.750, 0.750, 0.750)

23.
Computed, not measured: a relaxed Ac2AlCdGa6 crystal at the PBE level of DFT.

## Properties
The volume is 24.004 Å³/atom. Its raw total energy is -66.91 eV for the cell shown. Its theoretical density is 7.0 g/cm³. The energy relative to the elements comes out at -0.24 eV per atom.

Lattice parameters (Å, degrees): 6.633 6.633 13.167 75.41 75.41 60.00
Atoms (fractional coordinates):
Ga (0.939, 0.326, 0.408)
Ga (0.674, 0.674, 0.592)
Ac (0.283, 0.283, 0.150)
Ga (0.641, 0.229, 0.901)
Cd (0.427, 0.427, 0.719)
Ga (0.229, 0.641, 0.901)
Ac (0.891, 0.891, 0.328)
Ga (0.229, 0.229, 0.901)
Cd (0.573, 0.573, 0.281)
Ga (0.359, 0.771, 0.099)
Ac (0.109, 0.109, 0.672)
Ga (0.771, 0.771, 0.099)
Ga (0.771, 0.359, 0.099)
Ga (0.061, 0.674, 0.592)
Ga (0.326, 0.326, 0.408)
Ac (0.717, 0.717, 0.850)
Al (0.500, 0.500, 0.500)
Ga (0.326, 0.939, 0.408)
Al (0.000, 0.000, 0.000)
Ga (0.674, 0.061, 0.592)